# DyCd5Pd

A geometry-optimized DyCd5Pd structure (PBE, Alexandria).

E (eV per atom): -2.34

abc: 4.729 4.729 7.237
angles: 90.00 90.00 90.00
Element x y z (fractional)
Dy  0.000  0.000  0.000
Cd  0.500  0.000  0.706
Cd  0.000  0.500  0.706
Cd  0.500  0.500  0.000
Cd  0.000  0.500  0.294
Cd  0.500  0.000  0.294
Pd  0.000  0.000  0.500

# BaNbP2Rh

A geometry-optimized BaNbP2Rh structure (PBE, Alexandria).

E (eV per atom): -6.95

abc: 4.108 4.108 7.065
angles: 106.90 106.90 90.00
Element x y z (fractional)
Ba  0.000  0.000  0.000
Nb  0.250  0.750  0.500
P  0.645  0.645  0.290
P  0.355  0.355  0.710
Rh  0.750  0.250  0.500

# CaTeAuSeS

A geometry-optimized CaTeAuSeS structure (PBE, Alexandria).

Relative energy among the computed polymorphs (kJ/mol of formula units): 46
E (eV per atom): -3.87
Uncorrected formation energy (meV/atom): -661

abc: 8.086 4.258 8.208
angles: 90.00 97.58 90.00
Element x y z (fractional)
Ca  0.429  0.000  0.404
Ca  0.429  0.500  0.904
Te  0.859  0.000  0.425
Te  0.859  0.500  0.925
Au  0.985  0.000  0.109
Au  0.985  0.500  0.609
S  0.518  0.000  0.735
S  0.518  0.500  0.235
Se  0.210  0.000  0.662
Se  0.210  0.500  0.162

# Ti4Al5Ga

A geometry-optimized Ti4Al5Ga structure (PBE, Alexandria).

E (eV per atom): -5.51

abc: 4.136 9.931 8.315
angles: 90.00 90.00 90.00
Element x y z (fractional)
Ti  0.750  0.000  0.688
Ti  0.750  0.747  0.000
Ti  0.750  0.253  0.000
Ti  0.750  0.000  0.312
Ti  0.250  0.500  0.188
Ti  0.250  0.753  0.500
Ti  0.250  0.247  0.500
Ti  0.250  0.500  0.812
Al  0.250  0.840  0.819
Al  0.250  0.160  0.819
Al  0.750  0.500  0.000
Al  0.250  0.840  0.181
Al  0.250  0.160  0.181
Al  0.750  0.660  0.319
Al  0.750  0.340  0.319
Al  0.250  0.000  0.500
Al  0.750  0.340  0.681
Al  0.750  0.660  0.681
Ga  0.749  0.000  0.000
Ga  0.251  0.500  0.500

# Si3Pb

A geometry-optimized Si3Pb structure (PBE, Alexandria).

Relative energy among the computed polymorphs (kJ/mol of formula units): 597
E (eV per atom): -3.06
Uncorrected formation energy (meV/atom): 1934

abc: 5.500 5.500 5.500
angles: 90.00 90.00 90.00
Element x y z (fractional)
Pb  0.000  0.000  0.000
Si  0.500  0.000  0.000
Si  0.000  0.500  0.000
Si  0.000  0.000  0.500

# La6SiN2Cl3

A geometry-optimized La6SiN2Cl3 structure (PBE, Alexandria).

E (eV per atom): -6.22
Uncorrected formation energy (meV/atom): -1453

abc: 3.953 8.543 9.468
angles: 109.46 102.05 90.00
Element x y z (fractional)
La  0.333  0.868  0.666
La  0.683  0.553  0.365
La  0.667  0.132  0.334
La  0.026  0.256  0.052
La  0.974  0.744  0.948
La  0.317  0.447  0.635
Si  0.500  0.000  0.000
N  0.826  0.659  0.652
N  0.174  0.341  0.348
Cl  0.500  0.500  0.000
Cl  0.839  0.173  0.678
Cl  0.161  0.827  0.322

# Ac4Zn3Pb

A geometry-optimized Ac4Zn3Pb structure (PBE, Alexandria).

Relative energy among the computed polymorphs (kJ/mol of formula units): 7
E (eV per atom): -3.28

abc: 4.839 4.569 11.740
angles: 90.00 90.00 90.00
Element x y z (fractional)
Ac  0.500  0.500  0.372
Ac  0.000  0.500  0.845
Ac  0.000  0.000  0.153
Ac  0.500  0.000  0.637
Zn  0.000  0.500  0.560
Zn  0.000  0.000  0.441
Zn  0.500  0.000  0.919
Pb  0.500  0.500  0.074

# AcLa2Cd4

A geometry-optimized AcLa2Cd4 structure (PBE, Alexandria).

E (eV per atom): -2.63

abc: 5.499 5.499 9.575
angles: 73.31 73.31 60.00
Element x y z (fractional)
Ac  0.000  0.000  0.000
Cd  0.874  0.874  0.378
Cd  0.126  0.126  0.622
Cd  0.614  0.614  0.157
Cd  0.386  0.386  0.843
La  0.754  0.754  0.739
La  0.246  0.246  0.261

# KYHf

A geometry-optimized KYHf structure (PBE, Alexandria).

Relative energy among the computed polymorphs (kJ/mol of formula units): 24
E (eV per atom): -5.44

abc: 6.131 3.434 12.519
angles: 105.21 76.17 73.83
Each line ends with the local moment (μB).
Element x y z (fractional)
Y  0.037  0.062  0.832  0.07
Y  0.996  0.812  0.549  0.07
K  0.677  0.247  0.313  0.00
K  0.356  0.626  0.068  0.00
Hf  0.622  0.700  0.761  0.04
Hf  0.411  0.173  0.620  0.04

# Pr6Ho8Cd

A geometry-optimized Pr6Ho8Cd structure (PBE, Alexandria).

E (eV per atom): -4.34

abc: 6.329 9.539 9.539
angles: 120.00 90.00 90.00
Element x y z (fractional)
Pr  0.692  0.637  0.090
Pr  0.692  0.910  0.547
Pr  0.692  0.453  0.363
Pr  0.308  0.363  0.910
Pr  0.308  0.090  0.453
Pr  0.308  0.547  0.637
Ho  0.807  0.041  0.260
Ho  0.807  0.740  0.781
Ho  0.807  0.219  0.959
Ho  0.193  0.959  0.740
Ho  0.193  0.260  0.219
Ho  0.193  0.781  0.041
Ho  0.817  0.333  0.667
Ho  0.183  0.667  0.333
Cd  0.500  0.000  0.000

# CdIrBr2

A geometry-optimized CdIrBr2 structure (PBE, Alexandria).

Relative energy among the computed polymorphs (kJ/mol of formula units): 108
E (eV per atom): -3.04
Uncorrected formation energy (meV/atom): 239

abc: 8.302 8.302 8.302
angles: 157.08 151.93 36.54
Element x y z (fractional)
Ir  0.288  0.788  0.500
Br  0.021  0.021  0.000
Br  0.760  0.260  0.500
Cd  0.431  0.431  0.000

# YTaMo2

A geometry-optimized YTaMo2 structure (PBE, Alexandria).

Relative energy among the computed polymorphs (kJ/mol of formula units): 87
E (eV per atom): -9.57

abc: 9.492 9.492 9.492
angles: 18.89 18.89 18.89
Element x y z (fractional)
Mo  0.988  0.988  0.988
Mo  0.253  0.253  0.253
Ta  0.511  0.511  0.511
Y  0.747  0.747  0.747

# H2AuSe

A geometry-optimized H2AuSe structure (PBE, Alexandria).

Relative energy among the computed polymorphs (kJ/mol of formula units): 184
E (eV per atom): -2.79

abc: 5.233 5.233 5.363
angles: 60.80 60.80 90.00
Element x y z (fractional)
H  0.749  0.125  0.250
H  0.001  0.625  0.250
H  0.375  0.251  0.750
H  0.875  0.999  0.750
Au  0.000  0.000  0.000
Au  0.750  0.250  0.500
Se  0.500  0.500  0.000
Se  0.250  0.750  0.500

# Hf8RuPb2

A geometry-optimized Hf8RuPb2 structure (PBE, Alexandria).

E (eV per atom): -8.84

abc: 4.965 5.818 8.661
angles: 92.36 106.66 90.00
Element x y z (fractional)
Hf  0.416  0.423  0.832
Hf  0.650  0.109  0.300
Hf  0.771  0.658  0.542
Hf  0.038  0.261  0.077
Hf  0.229  0.342  0.458
Hf  0.350  0.891  0.700
Hf  0.584  0.577  0.168
Hf  0.962  0.739  0.923
Ru  0.500  0.000  0.000
Pb  0.838  0.188  0.676
Pb  0.162  0.812  0.324

# SbMoAs

A geometry-optimized SbMoAs structure (PBE, Alexandria).

Relative energy among the computed polymorphs (kJ/mol of formula units): 8
E (eV per atom): -6.51
Uncorrected formation energy (meV/atom): 26

abc: 6.676 6.570 6.734
angles: 67.12 71.71 87.21
Element x y z (fractional)
Sb  0.114  0.126  0.324
Sb  0.155  0.369  0.726
Sb  0.671  0.363  0.259
Sb  0.392  0.867  0.670
Mo  0.069  0.596  0.060
Mo  0.445  0.409  0.943
Mo  0.535  0.016  0.187
Mo  0.961  0.969  0.809
As  0.821  0.635  0.774
As  0.882  0.863  0.239
As  0.618  0.140  0.756
As  0.344  0.646  0.253

# BaCrTe2I

A geometry-optimized BaCrTe2I structure (PBE, Alexandria).

E (eV per atom): -4.60
Uncorrected formation energy (meV/atom): -720

abc: 5.437 5.437 5.677
angles: 90.00 90.00 90.00
Each line ends with the local moment (μB).
Element x y z (fractional)
I  0.000  0.000  0.500  -0.04
Cr  0.000  0.000  0.000  3.35
Te  0.000  0.500  0.000  -0.07
Te  0.500  0.000  0.000  -0.07
Ba  0.500  0.500  0.500  0.02

# Tb8Dy6Er

A geometry-optimized Tb8Dy6Er structure (PBE, Alexandria).

E (eV per atom): -4.49

abc: 9.003 9.003 8.590
angles: 58.40 58.40 60.00
Element x y z (fractional)
Tb  0.255  0.279  0.577
Tb  0.721  0.111  0.423
Tb  0.111  0.745  0.423
Tb  0.577  0.577  0.269
Tb  0.423  0.423  0.731
Tb  0.889  0.255  0.577
Tb  0.279  0.889  0.577
Tb  0.745  0.721  0.423
Dy  0.460  0.895  0.878
Dy  0.105  0.234  0.122
Dy  0.234  0.540  0.122
Dy  0.766  0.460  0.878
Dy  0.895  0.766  0.878
Dy  0.540  0.105  0.122
Er  0.000  0.000  0.000

# NpAsH

A geometry-optimized NpAsH structure (PBE, Alexandria).

Relative energy among the computed polymorphs (kJ/mol of formula units): 148
E (eV per atom): -6.96

abc: 4.011 4.011 4.464
angles: 116.70 116.70 90.00
Each line ends with the local moment (μB).
Element x y z (fractional)
Np  0.645  0.645  0.291  -4.12
H  0.974  0.974  0.949  -0.02
As  0.230  0.230  0.461  0.01

# Sc2TiHgN

A geometry-optimized Sc2TiHgN structure (PBE, Alexandria).

E (eV per atom): -6.83
Uncorrected formation energy (meV/atom): -996

abc: 4.430 4.430 4.219
angles: 90.00 90.00 90.00
Element x y z (fractional)
Sc  0.000  0.500  0.000
Sc  0.500  0.000  0.000
N  0.000  0.000  0.000
Hg  0.500  0.500  0.500
Ti  0.000  0.000  0.500

# VCo3Rh

A geometry-optimized VCo3Rh structure (PBE, Alexandria).

Relative energy among the computed polymorphs (kJ/mol of formula units): 371
E (eV per atom): -6.09

abc: 4.471 4.471 4.471
angles: 90.00 90.00 90.00
Each line ends with the local moment (μB).
Element x y z (fractional)
Rh  0.000  0.000  0.000  0.96
Co  0.000  0.500  0.000  1.86
Co  0.000  0.000  0.500  1.86
Co  0.500  0.000  0.000  1.86
V  0.500  0.500  0.500  2.37

# LaTa

A geometry-optimized LaTa structure (PBE, Alexandria).

Relative energy among the computed polymorphs (kJ/mol of formula units): 122
E (eV per atom): -7.48

abc: 5.863 5.863 5.863
angles: 90.00 90.00 90.00
Element x y z (fractional)
La  0.410  0.410  0.410
La  0.090  0.590  0.910
La  0.590  0.910  0.090
La  0.910  0.090  0.590
Ta  0.097  0.097  0.097
Ta  0.403  0.903  0.597
Ta  0.903  0.597  0.403
Ta  0.597  0.403  0.903

# AlZn2Tc

A geometry-optimized AlZn2Tc structure (PBE, Alexandria).

E (eV per atom): -3.92

abc: 6.980 6.980 5.559
angles: 51.11 51.11 90.00
Element x y z (fractional)
Zn  0.621  0.125  0.250
Zn  0.129  0.625  0.250
Zn  0.375  0.379  0.750
Zn  0.875  0.871  0.750
Tc  0.000  0.000  0.000
Tc  0.750  0.250  0.500
Al  0.500  0.500  0.000
Al  0.250  0.750  0.500

# Pm3DySc3Se8

A geometry-optimized Pm3DySc3Se8 structure (PBE, Alexandria).

E (eV per atom): -6.16
Uncorrected formation energy (meV/atom): -1775

abc: 7.994 7.995 8.111
angles: 119.53 90.00 119.99
Element x y z (fractional)
Pm  0.000  0.000  0.000
Pm  0.000  0.500  0.000
Pm  0.500  0.500  0.000
Dy  0.000  0.000  0.500
Sc  0.500  0.000  0.500
Sc  0.500  0.500  0.500
Sc  0.000  0.500  0.500
Se  0.258  0.517  0.275
Se  0.742  0.483  0.725
Se  0.746  0.492  0.263
Se  0.254  0.508  0.737
Se  0.746  0.017  0.263
Se  0.254  0.983  0.737
Se  0.271  0.017  0.263
Se  0.729  0.983  0.737

# KBa2W

A geometry-optimized KBa2W structure (PBE, Alexandria).

Relative energy among the computed polymorphs (kJ/mol of formula units): 156
E (eV per atom): -3.07

abc: 13.588 13.588 13.588
angles: 15.23 15.23 15.23
Each line ends with the local moment (μB).
Element x y z (fractional)
Ba  0.017  0.017  0.017  0.00
Ba  0.253  0.253  0.253  0.32
K  0.484  0.484  0.484  0.01
W  0.746  0.746  0.746  -0.03